# PBE-GGA Tm6Zn2Au, optimized geometry
# Calculated density (kg/m³): 9900
# Energy of formation (eV/atom): -0.32
# Total magnetization (μB per formula unit): 0.00
# Raw total energy (eV/f.u.): -35.56
data_Tm6Zn2Au
_cell_length_a 9.4913
_cell_length_b 9.7102
_cell_length_c 9.7649
_cell_angle_alpha 90.00
_cell_angle_beta 90.00
_cell_angle_gamma 90.00
_symmetry_space_group_name_H-M 'I m m m'
_symmetry_Int_Tables_number 71
_symmetry_space_group_name_Hall '-I 2 2'
loop_
_atom_site_label
_atom_site_fract_x
_atom_site_fract_y
_atom_site_fract_z
_atom_site_occupancy
Tm1 0.0000 0.1759 0.2179 1
Tm2 0.1773 0.5000 0.2348 1
Tm3 0.1953 0.2486 0.5000 1
Zn1 0.0000 0.3723 0.0000 1
Zn2 0.1367 0.0000 0.0000 1
Au1 0.0000 0.0000 0.5000 1
Au2 0.0000 0.5000 0.5000 1



# PBE-GGA Tm3Zn7Au4, optimized geometry
# Calculated density (kg/m³): 11145
# Energy of formation (eV/atom): -0.50
# Total magnetization (μB per formula unit): 0.00
# Raw total energy (eV/f.u.): -42.44
data_Tm3Zn7Au4
_cell_length_a 15.6738
_cell_length_b 4.4014
_cell_length_c 9.1513
_cell_angle_alpha 90.00
_cell_angle_beta 124.19
_cell_angle_gamma 90.00
_symmetry_space_group_name_H-M 'C 1 2/m 1'
_symmetry_Int_Tables_number 12
_symmetry_space_group_name_Hall '-C 2y'
loop_
_atom_site_label
_atom_site_fract_x
_atom_site_fract_y
_atom_site_fract_z
_atom_site_occupancy
Tm1 0.0000 0.0000 0.0000 1
Tm2 0.2077 0.5000 0.7111 1
Zn1 0.0000 0.0000 0.5000 1
Zn2 0.0020 0.5000 0.3297 1
Zn3 0.1397 0.0000 0.4277 1
Zn4 0.1657 0.5000 0.0148 1
Au1 0.1259 0.0000 0.8430 1
Au2 0.1548 0.5000 0.2849 1



# PBE-GGA Tm2Zn6Au3, optimized geometry
# Calculated density (kg/m³): 10532
# Energy of formation (eV/atom): -0.39
# Total magnetization (μB per formula unit): 0.00
# Raw total energy (eV/f.u.): -30.74
data_Tm2Zn6Au3
_cell_length_a 7.6640
_cell_length_b 7.6640
_cell_length_c 4.0952
_cell_angle_alpha 90.00
_cell_angle_beta 90.00
_cell_angle_gamma 120.00
_symmetry_space_group_name_H-M 'P -6 2 m'
_symmetry_Int_Tables_number 189
_symmetry_space_group_name_Hall 'P -6 -2'
loop_
_atom_site_label
_atom_site_fract_x
_atom_site_fract_y
_atom_site_fract_z
_atom_site_occupancy
Tm1 0.3333 0.6667 0.0000 1
Zn1 0.0000 0.2595 0.5000 1
Zn2 0.0000 0.8066 0.0000 1
Au1 0.0000 0.5921 0.5000 1



# PBE-GGA Tm2Zn2Au, optimized geometry
# Calculated density (kg/m³): 10602
# Energy of formation (eV/atom): -0.46
# Total magnetization (μB per formula unit): 0.00
# Raw total energy (eV/f.u.): -17.07
# Excess energy over the best structure of this formula in the dataset (eV per atom): 0.0396
data_Tm2Zn2Au
_cell_length_a 10.3680
_cell_length_b 4.3051
_cell_length_c 5.5078
_cell_angle_alpha 90.00
_cell_angle_beta 121.99
_cell_angle_gamma 90.00
_symmetry_space_group_name_H-M 'C 1 2/m 1'
_symmetry_Int_Tables_number 12
_symmetry_space_group_name_Hall '-C 2y'
loop_
_atom_site_label
_atom_site_fract_x
_atom_site_fract_y
_atom_site_fract_z
_atom_site_occupancy
Tm1 0.2047 0.0000 0.2046 1
Zn1 0.0000 0.5000 0.2260 1
Au1 0.0000 0.0000 0.5000 1



# PBE-GGA TmZn12Au6, optimized geometry
# Calculated density (kg/m³): 10464
# Energy of formation (eV/atom): -0.18
# Total magnetization (μB per formula unit): 0.00
# Raw total energy (eV/f.u.): -42.85
data_TmZn12Au6
_cell_length_a 11.6102
_cell_length_b 11.6102
_cell_length_c 8.7093
_cell_angle_alpha 90.00
_cell_angle_beta 90.00
_cell_angle_gamma 120.00
_symmetry_space_group_name_H-M 'R -3 m'
_symmetry_Int_Tables_number 166
_symmetry_space_group_name_Hall '-R 3 2"'
loop_
_atom_site_label
_atom_site_fract_x
_atom_site_fract_y
_atom_site_fract_z
_atom_site_occupancy
Tm1 0.0000 0.0000 0.0000 1
Zn1 0.0000 0.3914 0.5000 1
Zn2 0.0807 0.1614 0.2946 1
Au1 0.0509 0.5254 0.2353 1



# PBE-GGA TmZn3Au3, optimized geometry
# Calculated density (kg/m³): 9340
# Energy of formation (eV/atom): 0.12
# Total magnetization (μB per formula unit): 0.00
# Raw total energy (eV/f.u.): -17.26
# Excess energy over the best structure of this formula in the dataset (eV per atom): 0.5274
data_TmZn3Au3
_cell_length_a 6.9791
_cell_length_b 6.9791
_cell_length_c 6.9791
_cell_angle_alpha 90.00
_cell_angle_beta 90.00
_cell_angle_gamma 90.00
_symmetry_space_group_name_H-M 'P m -3 n'
_symmetry_Int_Tables_number 223
_symmetry_space_group_name_Hall '-P 4n 2 3'
loop_
_atom_site_label
_atom_site_fract_x
_atom_site_fract_y
_atom_site_fract_z
_atom_site_occupancy
Tm1 0.0000 0.0000 0.0000 1
Zn1 0.0000 0.2500 0.5000 1
Au1 0.0000 0.5000 0.2500 1



# PBE-GGA TmZnAu2, optimized geometry
# Calculated density (kg/m³): 13175
# Energy of formation (eV/atom): -0.53
# Total magnetization (μB per formula unit): 0.00
# Raw total energy (eV/f.u.): -14.42
data_TmZnAu2
_cell_length_a 4.5524
_cell_length_b 4.5524
_cell_length_c 3.8209
_cell_angle_alpha 90.00
_cell_angle_beta 90.00
_cell_angle_gamma 90.00
_symmetry_space_group_name_H-M 'P 4/m m m'
_symmetry_Int_Tables_number 123
_symmetry_space_group_name_Hall '-P 4 2'
loop_
_atom_site_label
_atom_site_fract_x
_atom_site_fract_y
_atom_site_fract_z
_atom_site_occupancy
Tm1 0.0000 0.0000 0.0000 1
Zn1 0.5000 0.5000 0.0000 1
Au1 0.0000 0.5000 0.5000 1



# PBE-GGA Tm2ZnAu, optimized geometry
# Calculated density (kg/m³): 11283
# Energy of formation (eV/atom): -0.63
# Total magnetization (μB per formula unit): 0.00
# Raw total energy (eV/f.u.): -16.02
data_Tm2ZnAu
_cell_length_a 3.5667
_cell_length_b 3.5667
_cell_length_c 6.9442
_cell_angle_alpha 90.00
_cell_angle_beta 90.00
_cell_angle_gamma 90.00
_symmetry_space_group_name_H-M 'P 4/m m m'
_symmetry_Int_Tables_number 123
_symmetry_space_group_name_Hall '-P 4 2'
loop_
_atom_site_label
_atom_site_fract_x
_atom_site_fract_y
_atom_site_fract_z
_atom_site_occupancy
Tm1 0.0000 0.0000 0.2495 1
Zn1 0.5000 0.5000 0.0000 1
Au1 0.5000 0.5000 0.5000 1



# PBE-GGA Tm2ZnAu, optimized geometry
# Calculated density (kg/m³): 11236
# Energy of formation (eV/atom): -0.62
# Total magnetization (μB per formula unit): 0.00
# Raw total energy (eV/f.u.): -15.99
data_Tm2ZnAu
_cell_length_a 7.0795
_cell_length_b 7.0795
_cell_length_c 7.0795
_cell_angle_alpha 90.00
_cell_angle_beta 90.00
_cell_angle_gamma 90.00
_symmetry_space_group_name_H-M 'F m -3 m'
_symmetry_Int_Tables_number 225
_symmetry_space_group_name_Hall '-F 4 2 3'
loop_
_atom_site_label
_atom_site_fract_x
_atom_site_fract_y
_atom_site_fract_z
_atom_site_occupancy
Tm1 0.2500 0.2500 0.2500 1
Zn1 0.0000 0.0000 0.0000 1
Au1 0.0000 0.0000 0.5000 1



# PBE-GGA TmZn2Au8, optimized geometry
# Calculated density (kg/m³): 14909
# Energy of formation (eV/atom): -0.29
# Total magnetization (μB per formula unit): 0.00
# Raw total energy (eV/f.u.): -36.44
# Excess energy over the best structure of this formula in the dataset (eV per atom): 0.0527
data_TmZn2Au8
_cell_length_a 7.9573
_cell_length_b 12.5489
_cell_length_c 4.6232
_cell_angle_alpha 90.00
_cell_angle_beta 115.18
_cell_angle_gamma 90.00
_symmetry_space_group_name_H-M 'C 1 2/m 1'
_symmetry_Int_Tables_number 12
_symmetry_space_group_name_Hall '-C 2y'
loop_
_atom_site_label
_atom_site_fract_x
_atom_site_fract_y
_atom_site_fract_z
_atom_site_occupancy
Tm1 0.0000 0.0000 0.0000 1
Zn1 0.0000 0.3191 0.5000 1
Au1 0.0000 0.2288 0.0000 1
Au2 0.1091 0.5000 0.8279 1
Au3 0.1985 0.1246 0.6185 1



# PBE-GGA Tm2Zn3Au, optimized geometry
# Calculated density (kg/m³): 10177
# Energy of formation (eV/atom): -0.52
# Total magnetization (μB per formula unit): 0.00
# Raw total energy (eV/f.u.): -19.16
data_Tm2Zn3Au
_cell_length_a 6.8378
_cell_length_b 8.9664
_cell_length_c 15.5646
_cell_angle_alpha 90.00
_cell_angle_beta 90.00
_cell_angle_gamma 90.00
_symmetry_space_group_name_H-M 'F m m m'
_symmetry_Int_Tables_number 69
_symmetry_space_group_name_Hall '-F 2 2'
loop_
_atom_site_label
_atom_site_fract_x
_atom_site_fract_y
_atom_site_fract_z
_atom_site_occupancy
Tm1 0.2458 0.0000 0.0000 1
Tm2 0.2500 0.2500 0.2500 1
Zn1 0.0000 0.0000 0.3371 1
Zn2 0.0000 0.2452 0.4184 1
Au1 0.0000 0.0000 0.1670 1